i | Below is crystalline MgTeIr2 at its relaxed geometry, with properties calculated at the GGA-PBE level.

Results
* magnetic moment: 0.00 μB per formula unit

Cell: 9.395 3.388 4.476 Å, 90.00 106.38 90.00°
Element x y z (fractional)
1 Mg 0.000 0.000 0.000
2 Mg 0.500 0.500 0.000
3 Te 0.235 0.000 0.631
4 Te 0.735 0.500 0.631
5 Ir 0.001 0.500 0.501
6 Ir 0.239 0.500 0.117
7 Ir 0.501 0.000 0.501
8 Ir 0.739 0.000 0.117

ii | Below is crystalline MgTeIr2 at its relaxed geometry, with properties calculated at the GGA-PBE level.

Results
* magnetic moment: 0.00 μB per formula unit

Cell: 6.543 6.543 6.543 Å, 90.00 90.00 90.00°
Element x y z (fractional)
1 Mg 0.000 0.000 0.000
2 Mg 0.000 0.500 0.500
3 Mg 0.500 0.000 0.500
4 Mg 0.500 0.500 0.000
5 Te 0.250 0.250 0.750
6 Te 0.250 0.750 0.250
7 Te 0.750 0.250 0.250
8 Te 0.750 0.750 0.750
9 Ir 0.000 0.000 0.500
10 Ir 0.000 0.500 0.000
11 Ir 0.250 0.250 0.250
12 Ir 0.250 0.750 0.750
13 Ir 0.500 0.000 0.000
14 Ir 0.500 0.500 0.500
15 Ir 0.750 0.250 0.750
16 Ir 0.750 0.750 0.250

iii | Below is crystalline MgTeIr2 at its relaxed geometry, with properties calculated at the GGA-PBE level.

Results
* magnetic moment: 0.00 μB per formula unit

Cell: 3.104 4.554 10.043 Å, 90.00 90.00 90.00°
Element x y z (fractional)
1 Mg 0.000 0.000 0.000
2 Mg 0.500 0.500 0.500
3 Te 0.000 0.500 0.779
4 Te 0.500 0.000 0.279
5 Ir 0.000 0.000 0.494
6 Ir 0.000 0.500 0.227
7 Ir 0.500 0.000 0.727
8 Ir 0.500 0.500 0.994

iv | Below is crystalline MgTeIr2 at its relaxed geometry, with properties calculated at the GGA-PBE level.

Results
* magnetic moment: 0.00 μB per formula unit

Cell: 3.102 4.088 5.448 Å, 90.00 90.00 90.00°
Element x y z (fractional)
1 Mg 0.000 0.000 0.000
2 Te 0.500 0.500 0.666
3 Ir 0.000 0.000 0.486
4 Ir 0.500 0.500 0.176

Which one is most stable, and which one is least stable? i is the most stable of them, while ii is the least stable.

i | Below is crystalline MgTeIr2 at its relaxed geometry, with properties calculated at the GGA-PBE level.

Results
* magnetic moment: 0.00 μB per formula unit

Cell: 3.046 3.046 8.017 Å, 90.00 90.00 90.00°
Element x y z (fractional)
1 Mg 0.000 0.000 0.000
2 Te 0.500 0.500 0.345
3 Ir 0.000 0.000 0.575
4 Ir 0.500 0.500 0.793

ii | Below is crystalline MgTeIr2 at its relaxed geometry, with properties calculated at the GGA-PBE level.

Results
* magnetic moment: 0.00 μB per formula unit

Cell: 4.247 4.247 3.706 Å, 90.00 90.00 90.00°
Element x y z (fractional)
1 Mg 0.000 0.000 0.000
2 Te 0.500 0.500 0.000
3 Ir 0.000 0.500 0.500
4 Ir 0.500 0.000 0.500

iii | Below is crystalline MgTeIr2 at its relaxed geometry, with properties calculated at the GGA-PBE level.

Results
* magnetic moment: 0.00 μB per formula unit

Cell: 2.977 4.537 5.418 Å, 90.00 100.81 90.00°
Element x y z (fractional)
1 Mg 0.000 0.000 0.000
2 Te 0.500 0.000 0.500
3 Ir 0.374 0.500 0.219
4 Ir 0.626 0.500 0.781

iv | Below is crystalline MgTeIr2 at its relaxed geometry, with properties calculated at the GGA-PBE level.

Results
* magnetic moment: 0.00 μB per formula unit

Cell: 3.061 3.061 25.855 Å, 90.00 90.00 120.00°
Element x y z (fractional)
1 Mg 0.000 0.000 0.000
2 Mg 0.333 0.667 0.667
3 Mg 0.667 0.333 0.333
4 Te 0.000 0.000 0.500
5 Te 0.333 0.667 0.167
6 Te 0.667 0.333 0.833
7 Ir 0.000 0.000 0.250
8 Ir 0.000 0.000 0.750
9 Ir 0.333 0.667 0.417
10 Ir 0.333 0.667 0.917
11 Ir 0.667 0.333 0.083
12 Ir 0.667 0.333 0.583

Which one is most stable, and which one is least stable? ii is the most stable of them, while iv is the least stable.

i | Below is crystalline MgTeIr at its relaxed geometry, with properties calculated at the GGA-PBE level.

Results
* magnetic moment: 0.00 μB per formula unit

Cell: 4.548 4.548 3.244 Å, 90.00 90.00 120.00°
Element x y z (fractional)
1 Mg 0.000 0.000 0.000
2 Te 0.333 0.667 0.500
3 Ir 0.667 0.333 0.500

ii | Below is crystalline MgTeIr at its relaxed geometry, with properties calculated at the GGA-PBE level.

Results
* magnetic moment: 0.00 μB per formula unit

Cell: 3.555 3.845 8.374 Å, 90.00 90.00 90.00°
Element x y z (fractional)
1 Mg 0.000 0.000 0.000
2 Mg 0.500 0.500 0.500
3 Te 0.000 0.000 0.672
4 Te 0.500 0.500 0.172
5 Ir 0.000 0.000 0.349
6 Ir 0.500 0.500 0.849

iii | Below is crystalline MgTeIr at its relaxed geometry, with properties calculated at the GGA-PBE level.

Results
* magnetic moment: 0.00 μB per formula unit

Cell: 3.157 3.157 12.188 Å, 90.00 90.00 90.00°
Element x y z (fractional)
1 Mg 0.000 0.000 0.000
2 Mg 0.500 0.500 0.500
3 Te 0.000 0.000 0.277
4 Te 0.500 0.500 0.777
5 Ir 0.000 0.000 0.634
6 Ir 0.500 0.500 0.134

Which one is most stable, and which one is least stable? i is the most stable of them, while ii is the least stable.

i | Below is crystalline MgTeIr at its relaxed geometry, with properties calculated at the GGA-PBE level.

Results
* magnetic moment: 0.00 μB per formula unit

Cell: 12.439 4.515 4.553 Å, 90.00 90.00 90.00°
Element x y z (fractional)
1 Mg 0.119 0.000 0.000
2 Mg 0.119 0.500 0.500
3 Mg 0.881 0.000 0.000
4 Mg 0.881 0.500 0.500
5 Te 0.357 0.000 0.767
6 Te 0.357 0.500 0.267
7 Te 0.643 0.000 0.767
8 Te 0.643 0.500 0.267
9 Ir 0.000 0.000 0.498
10 Ir 0.000 0.500 0.998
11 Ir 0.500 0.000 0.256
12 Ir 0.500 0.500 0.756

ii | Below is crystalline MgTeIr at its relaxed geometry, with properties calculated at the GGA-PBE level.

Results
* magnetic moment: 0.00 μB per formula unit

Cell: 3.665 3.665 5.905 Å, 90.00 90.00 120.00°
Element x y z (fractional)
1 Mg 0.000 0.000 0.000
2 Te 0.667 0.333 0.443
3 Ir 0.333 0.667 0.693

iii | Below is crystalline MgTeIr at its relaxed geometry, with properties calculated at the GGA-PBE level.

Results
* magnetic moment: 0.00 μB per formula unit

Cell: 6.296 6.296 6.296 Å, 90.00 90.00 90.00°
Element x y z (fractional)
1 Mg 0.000 0.000 0.000
2 Mg 0.000 0.500 0.500
3 Mg 0.500 0.000 0.500
4 Mg 0.500 0.500 0.000
5 Te 0.000 0.000 0.500
6 Te 0.000 0.500 0.000
7 Te 0.500 0.000 0.000
8 Te 0.500 0.500 0.500
9 Ir 0.250 0.250 0.250
10 Ir 0.250 0.750 0.750
11 Ir 0.750 0.250 0.750
12 Ir 0.750 0.750 0.250

Which one is most stable, and which one is least stable? iii is the most stable of them, while ii is the least stable.

i | Below is crystalline Mg2TiIr2 at its relaxed geometry, with properties calculated at the GGA-PBE level.

Results
* magnetic moment: 0.00 μB per formula unit

Cell: 7.182 7.182 3.182 Å, 90.00 90.00 90.00°
Element x y z (fractional)
1 Mg 0.144 0.356 0.000
2 Mg 0.356 0.856 0.000
3 Mg 0.644 0.144 0.000
4 Mg 0.856 0.644 0.000
5 Ti 0.000 0.000 0.500
6 Ti 0.500 0.500 0.500
7 Ir 0.156 0.656 0.500
8 Ir 0.344 0.156 0.500
9 Ir 0.656 0.844 0.500
10 Ir 0.844 0.344 0.500

ii | Below is crystalline Mg2TiIr2 at its relaxed geometry, with properties calculated at the GGA-PBE level.

Results
* magnetic moment: 0.00 μB per formula unit

Cell: 3.051 18.929 3.035 Å, 90.00 90.00 90.00°
Element x y z (fractional)
1 Mg 0.000 0.172 0.000
2 Mg 0.000 0.828 0.000
3 Mg 0.500 0.328 0.000
4 Mg 0.500 0.672 0.000
5 Ti 0.000 0.000 0.000
6 Ti 0.500 0.500 0.000
7 Ir 0.000 0.418 0.500
8 Ir 0.000 0.582 0.500
9 Ir 0.500 0.082 0.500
10 Ir 0.500 0.918 0.500

iii | Below is crystalline Mg2TiIr2 at its relaxed geometry, with properties calculated at the GGA-PBE level.

Results
* magnetic moment: 0.00 μB per formula unit

Cell: 7.418 7.418 2.909 Å, 90.00 90.00 90.00°
Element x y z (fractional)
1 Mg 0.122 0.378 0.000
2 Mg 0.378 0.878 0.000
3 Mg 0.622 0.122 0.000
4 Mg 0.878 0.622 0.000
5 Ti 0.000 0.000 0.000
6 Ti 0.500 0.500 0.000
7 Ir 0.179 0.679 0.500
8 Ir 0.321 0.179 0.500
9 Ir 0.679 0.821 0.500
10 Ir 0.821 0.321 0.500

Which one is most stable, and which one is least stable? ii is the most stable of them, while iii is the least stable.

i | Below is crystalline Mg2TlIr2 at its relaxed geometry, with properties calculated at the GGA-PBE level.

Results
* magnetic moment: 0.00 μB per formula unit

Cell: 4.024 4.024 12.056 Å, 90.00 90.00 90.00°
Element x y z (fractional)
1 Mg 0.000 0.500 0.250
2 Mg 0.000 0.500 0.750
3 Mg 0.500 0.000 0.250
4 Mg 0.500 0.000 0.750
5 Tl 0.000 0.000 0.000
6 Tl 0.500 0.500 0.500
7 Ir 0.000 0.000 0.396
8 Ir 0.000 0.000 0.604
9 Ir 0.500 0.500 0.104
10 Ir 0.500 0.500 0.896

ii | Below is crystalline Mg2TlIr2 at its relaxed geometry, with properties calculated at the GGA-PBE level.

Results
* magnetic moment: 0.00 μB per formula unit

Cell: 7.673 7.673 2.973 Å, 90.00 90.00 90.00°
Element x y z (fractional)
1 Mg 0.127 0.373 0.000
2 Mg 0.373 0.873 0.000
3 Mg 0.627 0.127 0.000
4 Mg 0.873 0.627 0.000
5 Tl 0.000 0.000 0.000
6 Tl 0.500 0.500 0.000
7 Ir 0.170 0.670 0.500
8 Ir 0.330 0.170 0.500
9 Ir 0.670 0.830 0.500
10 Ir 0.830 0.330 0.500

iii | Below is crystalline Mg2TlIr2 at its relaxed geometry, with properties calculated at the GGA-PBE level.

Results
* magnetic moment: 0.00 μB per formula unit

Cell: 7.413 7.413 3.240 Å, 90.00 90.00 90.00°
Element x y z (fractional)
1 Mg 0.149 0.351 0.000
2 Mg 0.351 0.851 0.000
3 Mg 0.649 0.149 0.000
4 Mg 0.851 0.649 0.000
5 Tl 0.000 0.000 0.500
6 Tl 0.500 0.500 0.500
7 Ir 0.146 0.646 0.500
8 Ir 0.354 0.146 0.500
9 Ir 0.646 0.854 0.500
10 Ir 0.854 0.354 0.500

Which one is most stable, and which one is least stable? iii is the most stable of them, while i is the least stable.

i | Below is crystalline Mg3IrW at its relaxed geometry, with properties calculated at the GGA-PBE level.

Results
* magnetic moment: 2.99 μB per formula unit

Cell: 5.024 5.024 5.024 Å, 90.00 90.00 90.00°
Element x y z (fractional)
1 Mg 0.000 0.000 0.500
2 Mg 0.000 0.500 0.000
3 Mg 0.500 0.000 0.000
4 Ir 0.500 0.500 0.500
5 W 0.000 0.000 0.000

ii | Below is crystalline Mg3IrW at its relaxed geometry, with properties calculated at the GGA-PBE level.

Results
* magnetic moment: 0.00 μB per formula unit

Cell: 4.782 4.782 4.782 Å, 90.00 90.00 90.00°
Element x y z (fractional)
1 Mg 0.000 0.000 0.500
2 Mg 0.000 0.500 0.000
3 Mg 0.500 0.000 0.000
4 Ir 0.000 0.000 0.000
5 W 0.500 0.500 0.500

Which one is most stable, and which one is least stable? ii is the most stable of them, while i is the least stable.

i | Below is crystalline YMg3Ir at its relaxed geometry, with properties calculated at the GGA-PBE level.

Results
* magnetic moment: 0.45 μB per formula unit

Cell: 5.551 5.551 5.551 Å, 90.00 90.00 90.00°
Element x y z (fractional)
1 Y 0.000 0.000 0.000
2 Mg 0.000 0.000 0.500
3 Mg 0.000 0.500 0.000
4 Mg 0.500 0.000 0.000
5 Ir 0.500 0.500 0.500

ii | Below is crystalline YMg3Ir at its relaxed geometry, with properties calculated at the GGA-PBE level.

Results
* magnetic moment: 0.42 μB per formula unit

Cell: 4.957 4.957 4.957 Å, 90.00 90.00 90.00°
Element x y z (fractional)
1 Y 0.000 0.000 0.000
2 Mg 0.000 0.500 0.500
3 Mg 0.500 0.000 0.500
4 Mg 0.500 0.500 0.000
5 Ir 0.500 0.500 0.500

Which one is most stable, and which one is least stable? ii is the most stable of them, while i is the least stable.

i | Below is crystalline Mg6ZnIr2 at its relaxed geometry, with properties calculated at the GGA-PBE level.

Results
* magnetic moment: 0.00 μB per formula unit

Cell: 4.577 4.577 8.533 Å, 90.00 90.00 120.00°
Element x y z (fractional)
1 Mg 0.000 0.000 0.194
2 Mg 0.000 0.000 0.806
3 Mg 0.333 0.667 0.064
4 Mg 0.333 0.667 0.403
5 Mg 0.667 0.333 0.597
6 Mg 0.667 0.333 0.936
7 Zn 0.000 0.000 0.500
8 Ir 0.333 0.667 0.740
9 Ir 0.667 0.333 0.260

ii | Below is crystalline Mg6ZnIr2 at its relaxed geometry, with properties calculated at the GGA-PBE level.

Results
* magnetic moment: 0.00 μB per formula unit

Cell: 8.525 8.525 4.268 Å, 90.00 90.00 90.00°
Element x y z (fractional)
1 Mg 0.014 0.316 0.000
2 Mg 0.150 0.850 0.500
3 Mg 0.184 0.514 0.500
4 Mg 0.316 0.014 0.000
5 Mg 0.350 0.350 0.000
6 Mg 0.486 0.816 0.500
7 Mg 0.514 0.184 0.500
8 Mg 0.650 0.650 0.000
9 Mg 0.684 0.986 0.000
10 Mg 0.816 0.486 0.500
11 Mg 0.850 0.150 0.500
12 Mg 0.986 0.684 0.000
13 Zn 0.000 0.000 0.000
14 Zn 0.500 0.500 0.500
15 Ir 0.178 0.178 0.500
16 Ir 0.322 0.678 0.000
17 Ir 0.678 0.322 0.000
18 Ir 0.822 0.822 0.500

Which one is most stable, and which one is least stable? ii is the most stable of them, while i is the least stable.